[1]
DFT (SCAN) results for Al2NiAg at its PBEsol-relaxed geometry.

a = 3.2404 Å, b = 3.2404 Å, c = 5.3908 Å
α = 90.00°, β = 90.00°, γ = 90.00°
Last column: nearest neighbours and their distance in Å.
Element x y z (fractional)
1 Al 0.0000 0.0000 0.0000  1 Ni 2.51, 4 Ag 2.62, 4 Al 2.78
2 Al 0.5000 0.5000 0.2922  4 Ni 2.48, 1 Ag 2.54
3 Ni 0.0000 0.0000 0.4661  5 Al 2.48-2.51
4 Ag 0.5000 0.5000 0.7642  6 Al 2.54-2.85, 4 Ni 2.80

**Formation enthalpy at 0 K**: -1.2 eV/f.u.
**Polymorph energy (0 for the lowest one)**: 144 meV/atom
**V**: 14.151 A^3/atom



[2]
DFT (SCAN) results for Al2ReNiAg at its PBEsol-relaxed geometry.

a = 4.7452 Å, b = 4.7452 Å, c = 4.4507 Å
α = 90.00°, β = 90.00°, γ = 90.00°
Last column: nearest neighbours and their distance in Å.
Element x y z (fractional)
1 Al 0.0000 0.5000 0.0000  2 Re 2.37
2 Al 0.5000 0.0000 0.0000  2 Re 2.37
3 Re 0.0000 0.0000 0.0000  2 Ni 2.23, 4 Al 2.37
4 Ni 0.0000 0.0000 0.5000  2 Re 2.23
5 Ag 0.5000 0.5000 0.5000  8 Al 3.25, 4 Ni 3.36

**Formation enthalpy at 0 K**: 4.1 eV/f.u.
**V**: 20.043 A^3/atom



[3]
DFT (SCAN) results for AlNiAg2Ru at its PBEsol-relaxed geometry.

a = 4.5528 Å, b = 4.5528 Å, c = 4.2082 Å
α = 90.00°, β = 90.00°, γ = 90.00°
Last column: nearest neighbours and their distance in Å.
Element x y z (fractional)
1 Al 0.0000 0.0000 0.0000  2 Ni 2.10, 4 Ag 2.28
2 Ni 0.0000 0.0000 0.5000  2 Al 2.10
3 Ag 0.0000 0.5000 0.0000  2 Al 2.28
4 Ag 0.5000 0.0000 0.0000  2 Al 2.28
5 Ru 0.5000 0.5000 0.5000  8 Ag 3.10, 4 Ni 3.22

**Formation enthalpy at 0 K**: 5.7 eV/f.u.
**V**: 17.445 A^3/atom



[4]
DFT (SCAN) results for Al11AgO17 at its PBEsol-relaxed geometry.

a = 5.6171 Å, b = 5.6171 Å, c = 22.6062 Å
α = 90.00°, β = 90.00°, γ = 120.10°
Last column: nearest neighbours and their distance in Å.
Element x y z (fractional)
1 Al 0.0000 0.0000 0.0000  6 O 1.89-1.91
2 Al 0.0000 0.0000 0.5000  6 O 1.89-1.91
3 Al 0.1674 0.8326 0.6057  6 O 1.81-2.02
4 Al 0.1674 0.8326 0.8943  6 O 1.81-2.02
5 Al 0.1685 0.3346 0.6073  4 O 1.81-2.00
6 Al 0.1685 0.3346 0.8927  4 O 1.81-2.00
7 Al 0.3329 0.6671 0.0250  4 O 1.80-1.82
8 Al 0.3329 0.6671 0.1752  4 O 1.69-1.78
9 Al 0.3329 0.6671 0.3248  4 O 1.69-1.78
10 Al 0.3329 0.6671 0.4750  4 O 1.80-1.82
11 Al 0.3346 0.1685 0.1073  4 O 1.81-2.00
12 Al 0.3346 0.1685 0.3927  4 O 1.81-2.00
13 Al 0.6654 0.8315 0.6073  4 O 1.81-2.00
14 Al 0.6654 0.8315 0.8927  4 O 1.81-2.00
15 Al 0.6671 0.3329 0.5250  4 O 1.80-1.82
16 Al 0.6671 0.3329 0.6752  4 O 1.69-1.78
17 Al 0.6671 0.3329 0.8248  4 O 1.69-1.78
18 Al 0.6671 0.3329 0.9750  4 O 1.80-1.82
19 Al 0.8315 0.6654 0.1073  4 O 1.81-2.00
20 Al 0.8315 0.6654 0.3927  4 O 1.81-2.00
21 Al 0.8326 0.1674 0.1057  6 O 1.81-2.02
22 Al 0.8326 0.1674 0.3943  6 O 1.81-2.02
23 Ag 0.2473 0.7527 0.7500  6 O 2.71-2.89
24 Ag 0.7527 0.2473 0.2500  6 O 2.71-2.89
25 O 0.0012 0.9988 0.6418  3 Al 1.81
26 O 0.0012 0.9988 0.8582  3 Al 1.81
27 O 0.0086 0.5054 0.6462  3 Al 1.78-1.84
28 O 0.0086 0.5054 0.8538  3 Al 1.78-1.84
29 O 0.1551 0.3138 0.0496  3 Al 1.80-2.02
30 O 0.1551 0.3138 0.4504  3 Al 1.80-2.02
31 O 0.1568 0.8432 0.0505  2 Al 1.81-1.91
32 O 0.1568 0.8432 0.4495  2 Al 1.81-1.91
33 O 0.3138 0.1551 0.5496  3 Al 1.80-2.02
34 O 0.3138 0.1551 0.9504  3 Al 1.80-2.02
35 O 0.3237 0.6763 0.2500  2 Al 1.69
36 O 0.3335 0.6665 0.5554  4 Al 1.82-2.00
37 O 0.3335 0.6665 0.9446  4 Al 1.82-2.00
38 O 0.4946 0.9914 0.6462  3 Al 1.78-1.84
39 O 0.4946 0.9914 0.8538  3 Al 1.78-1.84
40 O 0.5001 0.4999 0.1445  3 Al 1.77-1.82
41 O 0.5001 0.4999 0.3555  3 Al 1.77-1.82
42 O 0.4999 0.5001 0.6445  3 Al 1.77-1.82
43 O 0.4999 0.5001 0.8555  3 Al 1.77-1.82
44 O 0.5054 0.0086 0.1462  3 Al 1.78-1.84
45 O 0.5054 0.0086 0.3538  3 Al 1.78-1.84
46 O 0.6665 0.3335 0.0554  4 Al 1.82-2.00
47 O 0.6665 0.3335 0.4446  4 Al 1.82-2.00
48 O 0.6763 0.3237 0.7500  2 Al 1.69
49 O 0.6862 0.8449 0.0496  3 Al 1.80-2.02
50 O 0.6862 0.8449 0.4504  3 Al 1.80-2.02
51 O 0.8432 0.1568 0.5505  2 Al 1.81-1.91
52 O 0.8432 0.1568 0.9495  2 Al 1.81-1.91
53 O 0.8449 0.6862 0.5496  3 Al 1.80-2.02
54 O 0.8449 0.6862 0.9504  3 Al 1.80-2.02
55 O 0.9914 0.4946 0.1462  3 Al 1.78-1.84
56 O 0.9914 0.4946 0.3538  3 Al 1.78-1.84
57 O 0.9988 0.0012 0.1418  3 Al 1.81
58 O 0.9988 0.0012 0.3582  3 Al 1.81

**Formation energy from raw total energies**: -3161 meV per atom
**V**: 10.639 A^3/atom



[5]
DFT (SCAN) results for Al11AgO17 at its PBEsol-relaxed geometry.

a = 22.6115 Å, b = 5.6170 Å, c = 5.6170 Å
α = 120.00°, β = 90.00°, γ = 90.00°
Last column: nearest neighbours and their distance in Å.
Element x y z (fractional)
1 Al 0.0000 0.0000 0.0000  6 O 1.90
2 Al 0.0249 0.6664 0.3335  4 O 1.81-1.82
3 Al 0.1061 0.6652 0.8333  4 O 1.81-1.98
4 Al 0.1066 0.1655 0.3341  4 O 1.81-1.99
5 Al 0.1076 0.1665 0.8318  4 O 1.81-1.99
6 Al 0.1754 0.6664 0.3327  4 O 1.70-1.79
7 Al 0.3246 0.6664 0.3327  4 O 1.70-1.79
8 Al 0.3924 0.1665 0.8318  4 O 1.81-1.99
9 Al 0.3934 0.1655 0.3341  4 O 1.81-1.99
10 Al 0.3939 0.6652 0.8333  4 O 1.81-1.98
11 Al 0.4751 0.6664 0.3335  4 O 1.81-1.82
12 Al 0.5000 0.0000 0.0000  6 O 1.90
13 Al 0.5249 0.3335 0.6664  4 O 1.81-1.82
14 Al 0.6061 0.8333 0.6652  4 O 1.81-1.98
15 Al 0.6066 0.3341 0.1655  4 O 1.81-1.99
16 Al 0.6076 0.8318 0.1665  4 O 1.81-1.99
17 Al 0.6754 0.3327 0.6664  4 O 1.70-1.79
18 Al 0.8246 0.3327 0.6664  4 O 1.70-1.79
19 Al 0.8924 0.8318 0.1665  4 O 1.81-1.99
20 Al 0.8934 0.3341 0.1655  4 O 1.81-1.99
21 Al 0.8939 0.8333 0.6652  4 O 1.81-1.98
22 Al 0.9751 0.3335 0.6664  4 O 1.81-1.82
23 Ag 0.2500 0.4418 0.6508  3 O 2.46-2.57
24 Ag 0.7500 0.6508 0.4418  3 O 2.46-2.57
25 O 0.0500 0.3138 0.1573  2 Al 1.81-1.90
26 O 0.0496 0.8422 0.1564  2 Al 1.81-1.90
27 O 0.0498 0.8420 0.6861  2 Al 1.81-1.90
28 O 0.0555 0.3326 0.6671  4 Al 1.82-1.99
29 O 0.1416 0.9987 0.9997  3 Al 1.81
30 O 0.1452 0.0028 0.5003  3 Al 1.77-1.82
31 O 0.1454 0.4963 0.5036  3 Al 1.79-1.83
32 O 0.1463 0.4975 0.9929  3 Al 1.78-1.83
33 O 0.2500 0.6473 0.3536  2 Al 1.70
34 O 0.3537 0.4975 0.9929  3 Al 1.78-1.83
35 O 0.3548 0.0028 0.5003  3 Al 1.77-1.82
36 O 0.3546 0.4963 0.5036  3 Al 1.79-1.83
37 O 0.3584 0.9987 0.9997  3 Al 1.81
38 O 0.4445 0.3326 0.6671  4 Al 1.82-1.99
39 O 0.4500 0.3138 0.1573  2 Al 1.81-1.90
40 O 0.4504 0.8422 0.1564  2 Al 1.81-1.90
41 O 0.4502 0.8420 0.6861  2 Al 1.81-1.90
42 O 0.5496 0.1564 0.8422  2 Al 1.81-1.90
43 O 0.5500 0.1573 0.3138  2 Al 1.81-1.90
44 O 0.5498 0.6861 0.8420  2 Al 1.81-1.90
45 O 0.5555 0.6671 0.3326  4 Al 1.82-1.99
46 O 0.6416 0.9997 0.9987  3 Al 1.81
47 O 0.6452 0.5003 0.0028  3 Al 1.77-1.82
48 O 0.6454 0.5036 0.4963  3 Al 1.79-1.83
49 O 0.6463 0.9929 0.4975  3 Al 1.78-1.83
50 O 0.7500 0.3536 0.6473  2 Al 1.70
51 O 0.8537 0.9929 0.4975  3 Al 1.78-1.83
52 O 0.8548 0.5003 0.0028  3 Al 1.77-1.82
53 O 0.8546 0.5036 0.4963  3 Al 1.79-1.83
54 O 0.8584 0.9997 0.9987  3 Al 1.81
55 O 0.9445 0.6671 0.3326  4 Al 1.82-1.99
56 O 0.9504 0.1564 0.8422  2 Al 1.81-1.90
57 O 0.9500 0.1573 0.3138  2 Al 1.81-1.90
58 O 0.9502 0.6861 0.8420  2 Al 1.81-1.90

**Formation energy from raw total energies**: -3161 meV per atom
**V**: 10.652 A^3/atom



[6]
DFT (SCAN) results for AlSi3AgO8 at its PBEsol-relaxed geometry.

a = 7.1877 Å, b = 7.5160 Å, c = 7.7609 Å
α = 114.32°, β = 109.11°, γ = 98.86°
Last column: nearest neighbours and their distance in Å.
Element x y z (fractional)
1 Al 0.2024 0.3446 0.1729  4 O 1.75-1.77
2 Al 0.7976 0.6554 0.8271  4 O 1.75-1.77
3 Si 0.2415 0.6886 0.8166  4 O 1.61-1.64
4 Si 0.3050 0.0878 0.8009  4 O 1.62-1.65
5 Si 0.3659 0.3060 0.5625  4 O 1.61-1.66
6 Si 0.6341 0.6940 0.4375  4 O 1.61-1.66
7 Si 0.6950 0.9122 0.1991  4 O 1.62-1.65
8 Si 0.7585 0.3114 0.1834  4 O 1.61-1.64
9 Ag 0.1562 0.7828 0.2673  3 O 2.30-2.43
10 Ag 0.8438 0.2172 0.7327  3 O 2.30-2.43
11 O 0.0414 0.6282 0.8574  1 Si 1.61, 1 Al 1.75
12 O 0.1733 0.2066 0.9135  1 Si 1.62, 1 Al 1.76
13 O 0.2206 0.8398 0.7135  2 Si 1.63-1.64
14 O 0.2651 0.4820 0.6568  2 Si 1.62-1.63
15 O 0.2766 0.1081 0.5912  2 Si 1.65-1.66
16 O 0.2880 0.2203 0.3148  1 Si 1.61, 1 Al 1.75
17 O 0.3809 0.5990 0.3028  1 Si 1.63, 1 Al 1.77
18 O 0.4479 0.8119 0.0409  2 Si 1.62-1.63
19 O 0.5521 0.1881 0.9591  2 Si 1.62-1.63
20 O 0.6191 0.4010 0.6972  1 Si 1.63, 1 Al 1.77
21 O 0.7120 0.7797 0.6852  1 Si 1.61, 1 Al 1.75
22 O 0.7234 0.8919 0.4088  2 Si 1.65-1.66
23 O 0.7349 0.5180 0.3432  2 Si 1.62-1.63
24 O 0.7794 0.1602 0.2865  2 Si 1.63-1.64
25 O 0.8267 0.7934 0.0865  1 Si 1.62, 1 Al 1.76
26 O 0.9586 0.3718 0.1426  1 Si 1.61, 1 Al 1.75

**Formation energy from raw total energies**: -2770 meV per atom
**V**: 13.079 A^3/atom



[7]
DFT (SCAN) results for AlSiAgO4 at its PBEsol-relaxed geometry.

a = 9.1080 Å, b = 9.1080 Å, c = 9.1080 Å
α = 90.20°, β = 90.20°, γ = 90.20°
Last column: nearest neighbours and their distance in Å.
Element x y z (fractional)
1 Al 0.0001 0.2464 0.7536  4 O 1.72-1.77
2 Al 0.2464 0.7536 0.0001  4 O 1.72-1.77
3 Al 0.2536 0.7464 0.5001  4 O 1.72-1.77
4 Al 0.5001 0.2536 0.7464  4 O 1.72-1.77
5 Al 0.7464 0.5001 0.2536  4 O 1.72-1.77
6 Al 0.7536 0.0001 0.2464  4 O 1.72-1.77
7 Si 0.2505 0.9988 0.7511  4 O 1.61-1.65
8 Si 0.2511 0.4988 0.7505  4 O 1.61-1.65
9 Si 0.4988 0.7505 0.2511  4 O 1.61-1.65
10 Si 0.7505 0.2511 0.4988  4 O 1.61-1.65
11 Si 0.7511 0.2505 0.9988  4 O 1.61-1.65
12 Si 0.9988 0.7511 0.2505  4 O 1.61-1.65
13 Ag 0.0040 0.4937 0.0060  3 O 2.26
14 Ag 0.0060 0.0040 0.4937  3 O 2.26
15 Ag 0.4937 0.0060 0.0040  3 O 2.26
16 Ag 0.5040 0.5060 0.9937  3 O 2.26
17 Ag 0.5060 0.9937 0.5040  3 O 2.26
18 Ag 0.9937 0.5040 0.5060  3 O 2.26
19 O 0.1014 0.7991 0.3918  1 Si 1.65, 1 Al 1.77
20 O 0.1016 0.6956 0.1135  1 Si 1.64, 1 Al 1.76
21 O 0.1094 0.3994 0.8026  1 Si 1.65, 1 Al 1.77
22 O 0.1135 0.1016 0.6956  1 Si 1.64, 1 Al 1.76
23 O 0.1956 0.6016 0.6135  1 Si 1.64, 1 Al 1.76
24 O 0.2025 0.8995 0.8883  1 Si 1.61, 1 Al 1.72
25 O 0.2991 0.6014 0.8918  1 Si 1.65, 1 Al 1.77
26 O 0.3026 0.8994 0.6094  1 Si 1.65, 1 Al 1.77
27 O 0.3883 0.3995 0.7025  1 Si 1.61, 1 Al 1.72
28 O 0.3918 0.1014 0.7991  1 Si 1.65, 1 Al 1.77
29 O 0.3994 0.8026 0.1094  1 Si 1.65, 1 Al 1.77
30 O 0.3995 0.7025 0.3883  1 Si 1.61, 1 Al 1.72
31 O 0.6014 0.8918 0.2991  1 Si 1.65, 1 Al 1.77
32 O 0.6016 0.6135 0.1956  1 Si 1.64, 1 Al 1.76
33 O 0.6094 0.3026 0.8994  1 Si 1.65, 1 Al 1.77
34 O 0.6135 0.1956 0.6016  1 Si 1.64, 1 Al 1.76
35 O 0.6956 0.1135 0.1016  1 Si 1.64, 1 Al 1.76
36 O 0.7025 0.3883 0.3995  1 Si 1.61, 1 Al 1.72
37 O 0.7991 0.3918 0.1014  1 Si 1.65, 1 Al 1.77
38 O 0.8026 0.1094 0.3994  1 Si 1.65, 1 Al 1.77
39 O 0.8883 0.2025 0.8995  1 Si 1.61, 1 Al 1.72
40 O 0.8918 0.2991 0.6014  1 Si 1.65, 1 Al 1.77
41 O 0.8994 0.6094 0.3026  1 Si 1.65, 1 Al 1.77
42 O 0.8995 0.8883 0.2025  1 Si 1.61, 1 Al 1.72

**Formation energy from raw total energies**: -2496 meV per atom
**V**: 17.989 A^3/atom



[8]
DFT (SCAN) results for Al3AgOs at its PBEsol-relaxed geometry.

a = 4.6875 Å, b = 4.6875 Å, c = 4.6875 Å
α = 90.00°, β = 90.00°, γ = 90.00°
Last column: nearest neighbours and their distance in Å.
Element x y z (fractional)
1 Al 0.0000 0.0000 0.5000  2 Os 2.34
2 Al 0.0000 0.5000 0.0000  2 Os 2.34
3 Al 0.5000 0.0000 0.0000  2 Os 2.34
4 Ag 0.5000 0.5000 0.5000  12 Al 3.31
5 Os 0.0000 0.0000 0.0000  6 Al 2.34

**Formation enthalpy at 0 K**: 0.6 eV/f.u.
**V**: 20.599 A^3/atom



[9]
DFT (SCAN) results for Al2AgOs at its PBEsol-relaxed geometry.

a = 8.6459 Å, b = 8.6459 Å, c = 8.6459 Å
α = 19.04°, β = 19.04°, γ = 19.04°
Last column: nearest neighbours and their distance in Å.
Element x y z (fractional)
1 Al 0.2439 0.2439 0.2439  3 Os 2.57, 3 Ag 2.81, 6 Al 2.86
2 Al 0.7561 0.7561 0.7561  3 Os 2.57, 3 Ag 2.81, 6 Al 2.86
3 Ag 0.0000 0.0000 0.0000  6 Al 2.81, 6 Ag 2.86
4 Os 0.5000 0.5000 0.5000  6 Al 2.57, 6 Os 2.86

**Formation enthalpy at 0 K**: -0.9 eV/f.u.
**V**: 15.023 A^3/atom



[10]
DFT (SCAN) results for Al2AgOs at its PBEsol-relaxed geometry.

a = 4.5005 Å, b = 4.5005 Å, c = 4.9274 Å
α = 101.35°, β = 101.35°, γ = 37.85°
Last column: nearest neighbours and their distance in Å.
Element x y z (fractional)
1 Al 0.2402 0.2402 0.2246  3 Os 2.57-2.67, 3 Ag 2.68-2.76, 2 Al 2.69
2 Al 0.7598 0.7598 0.7754  3 Os 2.57-2.67, 3 Ag 2.68-2.76, 2 Al 2.69
3 Ag 0.0000 0.0000 0.5000  6 Al 2.68-2.76, 4 Os 2.86, 2 Ag 2.92
4 Os 0.5000 0.5000 0.0000  6 Al 2.57-2.67, 4 Ag 2.86

**Formation enthalpy at 0 K**: -0.4 eV/f.u.
**V**: 14.973 A^3/atom



[11]
DFT (SCAN) results for AlAg2OsPb at its PBEsol-relaxed geometry.

a = 5.0457 Å, b = 5.0457 Å, c = 4.6169 Å
α = 90.00°, β = 90.00°, γ = 90.00°
Last column: nearest neighbours and their distance in Å.
Element x y z (fractional)
1 Al 0.0000 0.0000 0.0000  2 Os 2.31
2 Ag 0.0000 0.5000 0.5000  2 Os 2.52
3 Ag 0.5000 0.0000 0.5000  2 Os 2.52
4 Os 0.0000 0.0000 0.5000  2 Al 2.31, 4 Ag 2.52
5 Pb 0.5000 0.5000 0.0000  8 Ag 3.42, 4 Al 3.57

**Formation enthalpy at 0 K**: 4.3 eV/f.u.
**V**: 23.509 A^3/atom



[12]
DFT (SCAN) results for Al2AgP at its PBEsol-relaxed geometry.

a = 3.4357 Å, b = 3.4357 Å, c = 6.9570 Å
α = 104.06°, β = 104.06°, γ = 59.92°
Last column: nearest neighbours and their distance in Å.
Element x y z (fractional)
1 Al 0.2382 0.2382 0.2173  3 P 2.46, 3 Ag 2.73-2.74
2 Al 0.7618 0.7618 0.7827  3 P 2.46, 3 Ag 2.73-2.74
3 Ag 0.0000 0.0000 0.5000  6 Al 2.73-2.74
4 P 0.5000 0.5000 0.0000  6 Al 2.46

**Formation enthalpy at 0 K**: -0.5 eV/f.u.
**V**: 17.053 A^3/atom



Repeat the seventh record exactly.
DFT (SCAN) results for AlSiAgO4 at its PBEsol-relaxed geometry.

a = 9.1080 Å, b = 9.1080 Å, c = 9.1080 Å
α = 90.20°, β = 90.20°, γ = 90.20°
Last column: nearest neighbours and their distance in Å.
Element x y z (fractional)
1 Al 0.0001 0.2464 0.7536  4 O 1.72-1.77
2 Al 0.2464 0.7536 0.0001  4 O 1.72-1.77
3 Al 0.2536 0.7464 0.5001  4 O 1.72-1.77
4 Al 0.5001 0.2536 0.7464  4 O 1.72-1.77
5 Al 0.7464 0.5001 0.2536  4 O 1.72-1.77
6 Al 0.7536 0.0001 0.2464  4 O 1.72-1.77
7 Si 0.2505 0.9988 0.7511  4 O 1.61-1.65
8 Si 0.2511 0.4988 0.7505  4 O 1.61-1.65
9 Si 0.4988 0.7505 0.2511  4 O 1.61-1.65
10 Si 0.7505 0.2511 0.4988  4 O 1.61-1.65
11 Si 0.7511 0.2505 0.9988  4 O 1.61-1.65
12 Si 0.9988 0.7511 0.2505  4 O 1.61-1.65
13 Ag 0.0040 0.4937 0.0060  3 O 2.26
14 Ag 0.0060 0.0040 0.4937  3 O 2.26
15 Ag 0.4937 0.0060 0.0040  3 O 2.26
16 Ag 0.5040 0.5060 0.9937  3 O 2.26
17 Ag 0.5060 0.9937 0.5040  3 O 2.26
18 Ag 0.9937 0.5040 0.5060  3 O 2.26
19 O 0.1014 0.7991 0.3918  1 Si 1.65, 1 Al 1.77
20 O 0.1016 0.6956 0.1135  1 Si 1.64, 1 Al 1.76
21 O 0.1094 0.3994 0.8026  1 Si 1.65, 1 Al 1.77
22 O 0.1135 0.1016 0.6956  1 Si 1.64, 1 Al 1.76
23 O 0.1956 0.6016 0.6135  1 Si 1.64, 1 Al 1.76
24 O 0.2025 0.8995 0.8883  1 Si 1.61, 1 Al 1.72
25 O 0.2991 0.6014 0.8918  1 Si 1.65, 1 Al 1.77
26 O 0.3026 0.8994 0.6094  1 Si 1.65, 1 Al 1.77
27 O 0.3883 0.3995 0.7025  1 Si 1.61, 1 Al 1.72
28 O 0.3918 0.1014 0.7991  1 Si 1.65, 1 Al 1.77
29 O 0.3994 0.8026 0.1094  1 Si 1.65, 1 Al 1.77
30 O 0.3995 0.7025 0.3883  1 Si 1.61, 1 Al 1.72
31 O 0.6014 0.8918 0.2991  1 Si 1.65, 1 Al 1.77
32 O 0.6016 0.6135 0.1956  1 Si 1.64, 1 Al 1.76
33 O 0.6094 0.3026 0.8994  1 Si 1.65, 1 Al 1.77
34 O 0.6135 0.1956 0.6016  1 Si 1.64, 1 Al 1.76
35 O 0.6956 0.1135 0.1016  1 Si 1.64, 1 Al 1.76
36 O 0.7025 0.3883 0.3995  1 Si 1.61, 1 Al 1.72
37 O 0.7991 0.3918 0.1014  1 Si 1.65, 1 Al 1.77
38 O 0.8026 0.1094 0.3994  1 Si 1.65, 1 Al 1.77
39 O 0.8883 0.2025 0.8995  1 Si 1.61, 1 Al 1.72
40 O 0.8918 0.2991 0.6014  1 Si 1.65, 1 Al 1.77
41 O 0.8994 0.6094 0.3026  1 Si 1.65, 1 Al 1.77
42 O 0.8995 0.8883 0.2025  1 Si 1.61, 1 Al 1.72

**Formation energy from raw total energies**: -2496 meV per atom
**V**: 17.989 A^3/atom